# Tc3Ir (PBE, relaxed)
data_Tc3Ir
_symmetry_space_group_name_H-M 'P 63/m m c'
_symmetry_Int_Tables_number 194
_symmetry_space_group_name_Hall '-P 6c 2c'
_cell_length_a 5.5079
_cell_length_b 5.5079
_cell_length_c 8.8178
_cell_angle_alpha 90.00
_cell_angle_beta 90.00
_cell_angle_gamma 120.00
loop_
_atom_site_label
_atom_site_type_symbol
_atom_site_fract_x
_atom_site_fract_y
_atom_site_fract_z
Tc1 Tc 0.0000 0.5000 0.0000
Tc2 Tc 0.1690 0.3380 0.2500
Ir1 Ir 0.0000 0.0000 0.0000
Ir2 Ir 0.3333 0.6667 0.7500
# Offset from the most stable computed form = 5.4 kJ/mol of atoms
# Total energy = -10.150 eV/atom
# E_form = -62 kJ/mol of formula units